# Be2CdIn | Alexandria | PBE-GGA | relaxed
data_Be2CdIn
_chemical_formula_sum 'Be6 Cd3 In3'
_space_group_name_H-M_alt 'R -3 m'
_space_group_IT_number 166
_space_group_name_Hall '-R 3 2"'
_cell_length_a 3.0885
_cell_length_b 3.0885
_cell_length_c 24.1688
_cell_angle_alpha 90.00
_cell_angle_beta 90.00
_cell_angle_gamma 120.00
loop_
_atom_site_label
_atom_site_type_symbol
_atom_site_fract_x
_atom_site_fract_y
_atom_site_fract_z
Be1 Be 0.0000 0.0000 0.2483
Cd1 Cd 0.0000 0.0000 0.5000
In1 In 0.0000 0.0000 0.0000
# ΔH_f (0 K), eV per atom: 0.57
# Size of the total moment, μB per formula unit: 0.00